The following is a DFT calculation (PBE) of a relaxed Ba2Tl3Pd4Pb crystal.

Results
The magnetization is 0.00 Bohr magnetons per cell. The value obtained for the density of states at the Fermi level is 0.347 states/eV per atom. The symmetry is P-4m2. As for the calculated density: 9465 kg/m3. The value obtained for the uncorrected energy is -3.98 eV/atom.

Lattice parameters (Å, degrees): 4.952 4.952 10.881 90.00 90.00 90.00
Element x y z (fractional)
Ba  0.000  0.500  0.235
Ba  0.500  0.000  0.765
Tl  0.000  0.500  0.881
Tl  0.500  0.000  0.119
Tl  0.500  0.500  0.500
Pd  0.000  0.000  0.000
Pd  0.000  0.500  0.628
Pd  0.500  0.000  0.372
Pd  0.500  0.500  0.000
Pb  0.000  0.000  0.500


The following is a DFT calculation (PBE) of a relaxed BaTl2PdPb crystal.

Results
The magnetization is 0.00 Bohr magnetons per cell. The value obtained for the density of states at the Fermi level is 0.819 states/eV per atom. The symmetry is P4/mmm. As for the calculated density: 8786 kg/m3. The value obtained for the uncorrected energy is -3.33 eV/atom. The value obtained for the offset from the most stable computed form is 0.000 eV per atom.

Lattice parameters (Å, degrees): 5.395 5.395 5.583 90.00 90.00 90.00
Element x y z (fractional)
Ba  0.000  0.000  0.000
Tl  0.000  0.500  0.500
Tl  0.500  0.000  0.500
Pd  0.500  0.500  0.500
Pb  0.500  0.500  0.000


The following is a DFT calculation (PBE) of a relaxed Ba3Tl2Pd2Pb4 crystal.

Results
The magnetization is 0.00 Bohr magnetons per cell. The value obtained for the density of states at the Fermi level is 0.360 states/eV per atom. The symmetry is P-3m1. As for the calculated density: 8284 kg/m3. The value obtained for the uncorrected energy is -3.62 eV/atom.

Lattice parameters (Å, degrees): 5.033 5.033 17.020 90.00 90.00 120.00
Element x y z (fractional)
Ba  0.000  0.000  0.000
Ba  0.000  0.000  0.304
Ba  0.000  0.000  0.696
Tl  0.333  0.667  0.183
Tl  0.667  0.333  0.817
Pd  0.333  0.667  0.592
Pd  0.667  0.333  0.408
Pb  0.333  0.667  0.433
Pb  0.333  0.667  0.875
Pb  0.667  0.333  0.125
Pb  0.667  0.333  0.567


Question: What is the calculated density in the third record?
Answer: 8284 kg/m3


Question: uncorrected energy of number 2 (BaTl2PdPb)?
Answer: -3.33 eV/atom


Question: What is the formula in the first record?
Answer: Ba2Tl3Pd4Pb